# 1
This record from Alexandria describes CaTbPd after structural relaxation. The functional is PBE-GGA.

Cell: 6.978 6.978 6.978 Å, 90.00 90.00 90.00°
Space group F-43m (No. 216)
Unique sites:
Ca 0.000 0.000 0.000
Tb 0.000 0.000 0.500
Pd 0.250 0.250 0.250

=====

# 2
This record from Alexandria describes CaTb2Pd3 after structural relaxation. The functional is PBE-GGA.

Cell: 3.501 3.501 10.776 Å, 90.00 90.00 90.00°
Space group P4/mmm (No. 123)
Unique sites:
Ca 0.000 0.000 0.000
Tb 0.000 0.000 0.333
Pd 0.500 0.500 0.184
Pd 0.500 0.500 0.500

=====

# 3
This record from Alexandria describes CaTbPd4 after structural relaxation. The functional is PBE-GGA.

Cell: 7.714 7.714 7.714 Å, 90.00 90.00 90.00°
Space group F-43m (No. 216)
Unique sites:
Ca 0.000 0.000 0.000
Tb 0.250 0.250 0.750
Pd 0.125 0.125 0.375

=====

How do the records compare in ΔE_f? In the order shown, they have -0.44, -0.83, -0.74 eV/atom.